(1)
Here is crystalline NpPOs at its relaxed geometry from Alexandria. Energies are from PBE.

**Space group**: Amm2, No. 38
**V**: 17.56 Å³ per atom

Structure (POSCAR):
```
NpPOs
1.0
5.490 -0.006 0.000
-2.665 4.800 0.000
0.000 0.000 8.002
Np Os P
4 4 4
direct
0.631 0.369 0.823
0.339 0.661 0.346
0.339 0.661 0.654
0.631 0.369 0.177
0.135 0.392 0.000
0.135 0.865 0.000
0.972 0.028 0.500
0.608 0.865 0.000
0.850 0.557 0.500
0.958 0.042 0.791
0.958 0.042 0.209
0.443 0.150 0.500
```



(2)
Here is crystalline NpP12Os4 at its relaxed geometry from Alexandria. Energies are from PBE.

**Space group**: Im-3, No. 204
**V**: 15.65 Å³ per atom

Structure (POSCAR):
```
NpP12Os4
1.0
-3.928 2.887 -5.047
-2.928 -6.028 2.082
0.415 4.403 5.448
P Np Os
12 1 4
direct
0.857 0.646 0.503
0.497 0.143 0.354
0.143 0.354 0.497
0.211 0.857 0.354
0.143 0.646 0.789
0.354 0.211 0.857
0.503 0.857 0.646
0.646 0.789 0.143
0.354 0.497 0.143
0.646 0.503 0.857
0.857 0.354 0.211
0.789 0.143 0.646
0.000 0.000 0.000
0.500 0.500 0.500
0.500 0.000 0.000
0.000 0.500 0.000
0.000 0.000 0.500
```



(3)
Here is crystalline NpTcP2Os at its relaxed geometry from Alexandria. Energies are from PBE.

**Space group**: I-4m2, No. 119
**V**: 16.16 Å³ per atom

Structure (POSCAR):
```
NpTcP2Os
1.0
-0.346 -0.054 4.093
1.187 -3.932 0.049
4.146 3.377 -1.666
Os P Np Tc
1 2 1 1
direct
0.250 0.750 0.500
0.626 0.626 0.253
0.374 0.374 0.747
0.000 0.000 0.000
0.750 0.250 0.500
```



(4)
Here is crystalline NpPaOs at its relaxed geometry from Alexandria. Energies are from PBE.

**Relative energy among the computed polymorphs**: 6 meV/atom
**Space group**: Cmcm, No. 63
**V**: 19.31 Å³ per atom

Structure (POSCAR):
```
NpPaOs
1.0
4.568 0.000 -0.410
0.000 4.947 0.000
-1.827 0.000 5.291
Os Pa Np
2 2 2
direct
0.937 0.250 0.874
0.063 0.750 0.126
0.251 0.250 0.502
0.749 0.750 0.498
0.588 0.250 0.175
0.412 0.750 0.825
```



(5)
Here is crystalline NpPaOs at its relaxed geometry from Alexandria. Energies are from PBE.

**Relative energy among the computed polymorphs**: 10 meV/atom
**Space group**: I4mm, No. 107
**V**: 20.23 Å³ per atom

Structure (POSCAR):
```
NpPaOs
1.0
-3.023 1.867 0.143
-1.008 -1.852 2.863
4.146 3.224 1.338
Pa Os Np
1 1 1
direct
0.328 0.328 0.656
0.667 0.667 0.334
0.005 0.005 0.010
```



(6)
Here is crystalline NpPaOs at its relaxed geometry from Alexandria. Energies are from PBE.

**Relative energy among the computed polymorphs**: 0 meV/atom
**Space group**: P3m1, No. 156
**V**: 19.76 Å³ per atom

Structure (POSCAR):
```
NpPaOs
1.0
-1.152 -1.702 2.258
4.370 -0.761 1.656
-2.497 3.721 1.530
Pa Np Os
1 1 1
direct
0.358 0.667 0.333
0.640 0.333 0.667
0.002 0.000 0.000
```



| no. | raw total energy (eV/cell) | formation energy (eV/f.u.) |
| --- | --- | --- |
| 1 | -122.04 | -0.9 |
| 2 | -131.74 | -9.0 |
| 3 | -48.11 | -2.8 |
| 4 | -67.40 | 0.0 |
| 5 | -33.69 | 0.0 |
| 6 | -33.72 | -0.1 |